The following is a GGA-PBE calculation of a relaxed SrLa2Tl crystal, from the Alexandria database.

## Properties
E_form	-0.11	eV/atom
space-group type	No. 10
mass density	6.59	g cm⁻³
Fermi-level density of states	3.64	states/eV per cell
energy	-3.582	eV/atom

```
SrLa2Tl
1.0
-5.641 -2.039 0.294
0.960 -2.975 -2.207
1.702 -4.056 4.538
La Sr Tl
2 1 1
Direct
0.000 0.956 0.958
0.000 0.544 0.542
0.500 0.250 0.250
0.500 0.750 0.750
```